# 1
SrOsSe2 PBE optimized geometry; D(E_F) = 8.06 states/eV per cell; formation energy (no corrections) = -0.343 eV/atom; offset from the most stable computed form = 30.3 kJ per mole of atoms
1.0
-3.011 3.011 6.421
3.011 -3.011 6.421
3.011 3.011 -6.421
Sr Os Se
2 2 4
direct
0.000 0.000 0.000
0.750 0.250 0.500
0.250 0.750 0.500
0.500 0.500 0.000
0.211 0.625 0.086
0.375 0.461 0.586
0.539 0.125 0.914
0.875 0.789 0.414

---

# 2
TaIn2Tc2 PBE optimized geometry; D(E_F) = 10.56 states/eV per cell; offset from the most stable computed form = 0.0 kJ per mole of atoms; E_form = 0.3044 eV/atom
1.0
6.618 0.000 0.000
0.000 6.618 0.000
0.000 0.000 4.376
Ta In Tc
2 4 4
direct
0.000 0.000 0.000
0.500 0.500 0.000
0.173 0.327 0.500
0.327 0.827 0.500
0.673 0.173 0.500
0.827 0.673 0.500
0.133 0.633 0.000
0.367 0.133 0.000
0.633 0.867 0.000
0.867 0.367 0.000